Entry 1:
Rb2CuIrCl6 (PBE, optimized geometry); uncorrected energy = -3.580 eV/atom; total magnetic moment = 0.001 μB/f.u.; SG = Fm-3m (225)
1.0
6.863 -0.922 -0.387
3.340 -3.353 5.070
2.589 -6.331 -1.148
Cl Rb Cu Ir
6 2 1 1
Direct
0.744 0.256 0.744
0.744 0.256 0.256
0.256 0.744 0.256
0.256 0.256 0.744
0.256 0.744 0.744
0.744 0.744 0.256
0.250 0.250 0.250
0.750 0.750 0.750
0.000 0.000 0.000
0.500 0.500 0.500

=====

Entry 2:
KCuCl6 (PBE, optimized geometry); uncorrected energy = -2.568 eV/atom; SG = P1 (1)
1.0
5.075 0.000 0.000
-1.967 6.583 0.000
-0.620 -3.454 6.578
Cl K Cu
6 1 1
Direct
0.668 0.311 0.927
0.759 0.014 0.260
0.276 0.715 0.206
0.798 0.662 0.562
0.162 0.240 0.285
0.238 0.999 0.758
0.247 0.506 0.754
0.851 0.552 0.249